P.
ZrGeI2O | PBE | optimized geometry

The value obtained for the density of states at the Fermi level is 2.46 states/eV per cell. Its volume is 25.561 Å³ per atom.

Structure (CIF):
```
data_ZrGeI2O
_chemical_formula_sum 'Zr1 Ge1 I2 O1'
_space_group_name_H-M_alt 'P 4/m m m'
_space_group_IT_number 123
_space_group_name_Hall '-P 4 2'
_cell_length_a 5.858
_cell_length_b 5.858
_cell_length_c 3.724
_cell_angle_alpha 90.00
_cell_angle_beta 90.00
_cell_angle_gamma 90.00
loop_
_atom_site_label
_atom_site_type_symbol
_atom_site_fract_x
_atom_site_fract_y
_atom_site_fract_z
_atom_site_occupancy
Zr1 Zr 0.000 0.000 0.000 1
Ge1 Ge 0.500 0.500 0.500 1
I1 I 0.000 0.500 0.500 1
O1 O 0.500 0.500 0.000 1
```

***

Q.
ZrGeI2O | PBE | optimized geometry

The value obtained for the density of states at the Fermi level is 2.81 states/eV per cell. Its volume is 28.025 Å³ per atom.

Structure (CIF):
```
data_ZrGeI2O
_chemical_formula_sum 'Zr1 Ge1 I2 O1'
_space_group_name_H-M_alt 'P 4/m m m'
_space_group_IT_number 123
_space_group_name_Hall '-P 4 2'
_cell_length_a 5.914
_cell_length_b 5.914
_cell_length_c 4.007
_cell_angle_alpha 90.00
_cell_angle_beta 90.00
_cell_angle_gamma 90.00
loop_
_atom_site_label
_atom_site_type_symbol
_atom_site_fract_x
_atom_site_fract_y
_atom_site_fract_z
_atom_site_occupancy
Zr1 Zr 0.000 0.000 0.000 1
Ge1 Ge 0.500 0.500 0.500 1
I1 I 0.000 0.500 0.000 1
O1 O 0.000 0.000 0.500 1
```

***

Most stable structure - Q; separation to the second - 679 meV/atom.

***

P.
GeOs2I | PBE | optimized geometry

The value obtained for the density of states at the Fermi level is 16.01 states/eV per cell. Its volume is 16.811 Å³ per atom.

Structure (CIF):
```
data_GeOs2I
_chemical_formula_sum 'Ge4 Os8 I4'
_space_group_name_H-M_alt 'F m -3 m'
_space_group_IT_number 225
_space_group_name_Hall '-F 4 2 3'
_cell_length_a 6.455
_cell_length_b 6.455
_cell_length_c 6.455
_cell_angle_alpha 90.00
_cell_angle_beta 90.00
_cell_angle_gamma 90.00
loop_
_atom_site_label
_atom_site_type_symbol
_atom_site_fract_x
_atom_site_fract_y
_atom_site_fract_z
_atom_site_occupancy
Ge1 Ge 0.000 0.000 0.000 1
Os1 Os 0.250 0.250 0.250 1
I1 I 0.000 0.000 0.500 1
```

***

Q.
GeOs2I | PBE | optimized geometry

The value obtained for the density of states at the Fermi level is 6.80 states/eV per cell. Its volume is 23.267 Å³ per atom.

Structure (CIF):
```
data_GeOs2I
_chemical_formula_sum 'Ge4 Os8 I4'
_space_group_name_H-M_alt 'I -4 2 d'
_space_group_IT_number 122
_space_group_name_Hall 'I -4 2bw'
_cell_length_a 5.611
_cell_length_b 5.611
_cell_length_c 11.826
_cell_angle_alpha 90.00
_cell_angle_beta 90.00
_cell_angle_gamma 90.00
loop_
_atom_site_label
_atom_site_type_symbol
_atom_site_fract_x
_atom_site_fract_y
_atom_site_fract_z
_atom_site_occupancy
Ge1 Ge 0.000 0.000 0.000 1
Os1 Os 0.227 0.250 0.125 1
I1 I 0.000 0.000 0.500 1
```

***

Most stable structure - P; separation to the second - 23 meV/atom.

***

P.
Ge2OsI | PBE | optimized geometry

The value obtained for the density of states at the Fermi level is 12.69 states/eV per cell. Its volume is 19.829 Å³ per atom.

Structure (CIF):
```
data_Ge2OsI
_chemical_formula_sum 'Ge8 Os4 I4'
_space_group_name_H-M_alt 'F m -3 m'
_space_group_IT_number 225
_space_group_name_Hall '-F 4 2 3'
_cell_length_a 6.820
_cell_length_b 6.820
_cell_length_c 6.820
_cell_angle_alpha 90.00
_cell_angle_beta 90.00
_cell_angle_gamma 90.00
loop_
_atom_site_label
_atom_site_type_symbol
_atom_site_fract_x
_atom_site_fract_y
_atom_site_fract_z
_atom_site_occupancy
Ge1 Ge 0.250 0.250 0.250 1
Os1 Os 0.000 0.000 0.000 1
I1 I 0.000 0.000 0.500 1
```

***

Q.
Ge2OsI | PBE | optimized geometry

The value obtained for the density of states at the Fermi level is 10.35 states/eV per cell. Its volume is 29.641 Å³ per atom.

Structure (CIF):
```
data_Ge2OsI
_chemical_formula_sum 'Ge8 Os4 I4'
_space_group_name_H-M_alt 'I -4 2 d'
_space_group_IT_number 122
_space_group_name_Hall 'I -4 2bw'
_cell_length_a 6.240
_cell_length_b 6.240
_cell_length_c 12.180
_cell_angle_alpha 90.00
_cell_angle_beta 90.00
_cell_angle_gamma 90.00
loop_
_atom_site_label
_atom_site_type_symbol
_atom_site_fract_x
_atom_site_fract_y
_atom_site_fract_z
_atom_site_occupancy
Ge1 Ge 0.141 0.250 0.125 1
Os1 Os 0.000 0.000 0.000 1
I1 I 0.000 0.000 0.500 1
```

***

Most stable structure - Q; separation to the second - 685 meV/atom.

***

P.
GeOs3I | PBE | optimized geometry

The value obtained for the density of states at the Fermi level is 5.26 states/eV per cell. Its volume is 19.659 Å³ per atom.

Structure (CIF):
```
data_GeOs3I
_chemical_formula_sum 'Ge1 Os3 I1'
_space_group_name_H-M_alt 'P m -3 m'
_space_group_IT_number 221
_space_group_name_Hall '-P 4 2 3'
_cell_length_a 4.615
_cell_length_b 4.615
_cell_length_c 4.615
_cell_angle_alpha 90.00
_cell_angle_beta 90.00
_cell_angle_gamma 90.00
loop_
_atom_site_label
_atom_site_type_symbol
_atom_site_fract_x
_atom_site_fract_y
_atom_site_fract_z
_atom_site_occupancy
Ge1 Ge 0.000 0.000 0.000 1
Os1 Os 0.000 0.000 0.500 1
I1 I 0.500 0.500 0.500 1
```

***

Q.
GeOs3I | PBE | optimized geometry

The value obtained for the density of states at the Fermi level is 5.72 states/eV per cell. Its volume is 22.578 Å³ per atom.

Structure (CIF):
```
data_GeOs3I
_chemical_formula_sum 'Ge1 Os3 I1'
_space_group_name_H-M_alt 'P m -3 m'
_space_group_IT_number 221
_space_group_name_Hall '-P 4 2 3'
_cell_length_a 4.833
_cell_length_b 4.833
_cell_length_c 4.833
_cell_angle_alpha 90.00
_cell_angle_beta 90.00
_cell_angle_gamma 90.00
loop_
_atom_site_label
_atom_site_type_symbol
_atom_site_fract_x
_atom_site_fract_y
_atom_site_fract_z
_atom_site_occupancy
Ge1 Ge 0.000 0.000 0.000 1
Os1 Os 0.000 0.500 0.500 1
I1 I 0.500 0.500 0.500 1
```

***

Most stable structure - P; separation to the second - 747 meV/atom.

***

P.
GeOsI2 | PBE | optimized geometry

The value obtained for the density of states at the Fermi level is 16.53 states/eV per cell. Its volume is 32.696 Å³ per atom.

Structure (CIF):
```
data_GeOsI2
_chemical_formula_sum 'Ge4 Os4 I8'
_space_group_name_H-M_alt 'I -4 2 d'
_space_group_IT_number 122
_space_group_name_Hall 'I -4 2bw'
_cell_length_a 6.629
_cell_length_b 6.629
_cell_length_c 11.903
_cell_angle_alpha 90.00
_cell_angle_beta 90.00
_cell_angle_gamma 90.00
loop_
_atom_site_label
_atom_site_type_symbol
_atom_site_fract_x
_atom_site_fract_y
_atom_site_fract_z
_atom_site_occupancy
Ge1 Ge 0.000 0.000 0.000 1
Os1 Os 0.000 0.000 0.500 1
I1 I 0.193 0.250 0.625 1
```

***

Q.
GeOsI2 | PBE | optimized geometry

The value obtained for the density of states at the Fermi level is 14.70 states/eV per cell. Its volume is 22.251 Å³ per atom.

Structure (CIF):
```
data_GeOsI2
_chemical_formula_sum 'Ge4 Os4 I8'
_space_group_name_H-M_alt 'F m -3 m'
_space_group_IT_number 225
_space_group_name_Hall '-F 4 2 3'
_cell_length_a 7.087
_cell_length_b 7.087
_cell_length_c 7.087
_cell_angle_alpha 90.00
_cell_angle_beta 90.00
_cell_angle_gamma 90.00
loop_
_atom_site_label
_atom_site_type_symbol
_atom_site_fract_x
_atom_site_fract_y
_atom_site_fract_z
_atom_site_occupancy
Ge1 Ge 0.000 0.000 0.000 1
Os1 Os 0.000 0.000 0.500 1
I1 I 0.250 0.250 0.250 1
```

***

Most stable structure - P; separation to the second - 174 meV/atom.

***

P.
GeSbOsI2 | PBE | optimized geometry

The value obtained for the density of states at the Fermi level is 4.59 states/eV per cell. Its volume is 30.656 Å³ per atom.

Structure (CIF):
```
data_GeSbOsI2
_chemical_formula_sum 'Ge1 Sb1 Os1 I2'
_space_group_name_H-M_alt 'P 4/m m m'
_space_group_IT_number 123
_space_group_name_Hall '-P 4 2'
_cell_length_a 5.524
_cell_length_b 5.524
_cell_length_c 5.023
_cell_angle_alpha 90.00
_cell_angle_beta 90.00
_cell_angle_gamma 90.00
loop_
_atom_site_label
_atom_site_type_symbol
_atom_site_fract_x
_atom_site_fract_y
_atom_site_fract_z
_atom_site_occupancy
Ge1 Ge 0.000 0.000 0.000 1
Sb1 Sb 0.500 0.500 0.000 1
Os1 Os 0.500 0.500 0.500 1
I1 I 0.000 0.500 0.500 1
```

***

Q.
GeSbOsI2 | PBE | optimized geometry

The value obtained for the density of states at the Fermi level is 5.01 states/eV per cell. Its volume is 34.037 Å³ per atom.

Structure (CIF):
```
data_GeSbOsI2
_chemical_formula_sum 'Ge1 Sb1 Os1 I2'
_space_group_name_H-M_alt 'P 4/m m m'
_space_group_IT_number 123
_space_group_name_Hall '-P 4 2'
_cell_length_a 5.512
_cell_length_b 5.512
_cell_length_c 5.601
_cell_angle_alpha 90.00
_cell_angle_beta 90.00
_cell_angle_gamma 90.00
loop_
_atom_site_label
_atom_site_type_symbol
_atom_site_fract_x
_atom_site_fract_y
_atom_site_fract_z
_atom_site_occupancy
Ge1 Ge 0.000 0.000 0.000 1
Sb1 Sb 0.000 0.000 0.500 1
Os1 Os 0.500 0.500 0.500 1
I1 I 0.000 0.500 0.000 1
```

***

Most stable structure - P; separation to the second - 694 meV/atom.

***

P.
Ge2PI | PBE | optimized geometry

The value obtained for the density of states at the Fermi level is 1.96 states/eV per cell. Its volume is 28.570 Å³ per atom.

Structure (CIF):
```
data_Ge2PI
_chemical_formula_sum 'Ge6 P3 I3'
_space_group_name_H-M_alt 'R -3 m'
_space_group_IT_number 166
_space_group_name_Hall '-R 3 2"'
_cell_length_a 4.0456
_cell_length_b 4.0456
_cell_length_c 24.1875
_cell_angle_alpha 90.00
_cell_angle_beta 90.00
_cell_angle_gamma 120.00
loop_
_atom_site_label
_atom_site_type_symbol
_atom_site_fract_x
_atom_site_fract_y
_atom_site_fract_z
_atom_site_occupancy
Ge1 Ge 0.0000 0.0000 0.1170 1
P1 P 0.0000 0.0000 0.5000 1
I1 I 0.0000 0.0000 0.0000 1
```

***

Q.
Ge2PI | PBE | optimized geometry

The value obtained for the density of states at the Fermi level is 9.72 states/eV per cell. Its volume is 22.487 Å³ per atom.

Structure (CIF):
```
data_Ge2PI
_chemical_formula_sum 'Ge8 P4 I4'
_space_group_name_H-M_alt 'F m -3 m'
_space_group_IT_number 225
_space_group_name_Hall '-F 4 2 3'
_cell_length_a 7.112
_cell_length_b 7.112
_cell_length_c 7.112
_cell_angle_alpha 90.00
_cell_angle_beta 90.00
_cell_angle_gamma 90.00
loop_
_atom_site_label
_atom_site_type_symbol
_atom_site_fract_x
_atom_site_fract_y
_atom_site_fract_z
_atom_site_occupancy
Ge1 Ge 0.250 0.250 0.250 1
P1 P 0.000 0.000 0.000 1
I1 I 0.000 0.000 0.500 1
```

***

R.
Ge2PI | PBE | optimized geometry

The value obtained for the density of states at the Fermi level is 4.37 states/eV per cell. Its volume is 27.427 Å³ per atom.

Structure (CIF):
```
data_Ge2PI
_chemical_formula_sum 'Ge8 P4 I4'
_space_group_name_H-M_alt 'I -4 2 d'
_space_group_IT_number 122
_space_group_name_Hall 'I -4 2bw'
_cell_length_a 7.368
_cell_length_b 7.368
_cell_length_c 8.083
_cell_angle_alpha 90.00
_cell_angle_beta 90.00
_cell_angle_gamma 90.00
loop_
_atom_site_label
_atom_site_type_symbol
_atom_site_fract_x
_atom_site_fract_y
_atom_site_fract_z
_atom_site_occupancy
Ge1 Ge 0.180 0.250 0.125 1
P1 P 0.000 0.000 0.000 1
I1 I 0.000 0.000 0.500 1
```

***

Most stable structure - P; separation to the second - 93 meV/atom.

***

P.
GePS2I | PBE | optimized geometry

The value obtained for the density of states at the Fermi level is 2.29 states/eV per cell. Its volume is 26.338 Å³ per atom.

Structure (CIF):
```
data_GePS2I
_chemical_formula_sum 'Ge1 P1 S2 I1'
_space_group_name_H-M_alt 'P 4/m m m'
_space_group_IT_number 123
_space_group_name_Hall '-P 4 2'
_cell_length_a 5.042
_cell_length_b 5.042
_cell_length_c 5.180
_cell_angle_alpha 90.00
_cell_angle_beta 90.00
_cell_angle_gamma 90.00
loop_
_atom_site_label
_atom_site_type_symbol
_atom_site_fract_x
_atom_site_fract_y
_atom_site_fract_z
_atom_site_occupancy
Ge1 Ge 0.000 0.000 0.000 1
P1 P 0.500 0.500 0.000 1
S1 S 0.000 0.500 0.500 1
I1 I 0.500 0.500 0.500 1
```

***

Q.
GePS2I | PBE | optimized geometry

The value obtained for the density of states at the Fermi level is 3.93 states/eV per cell. Its volume is 22.691 Å³ per atom.

Structure (CIF):
```
data_GePS2I
_chemical_formula_sum 'Ge1 P1 S2 I1'
_space_group_name_H-M_alt 'P 4/m m m'
_space_group_IT_number 123
_space_group_name_Hall '-P 4 2'
_cell_length_a 4.587
_cell_length_b 4.587
_cell_length_c 5.393
_cell_angle_alpha 90.00
_cell_angle_beta 90.00
_cell_angle_gamma 90.00
loop_
_atom_site_label
_atom_site_type_symbol
_atom_site_fract_x
_atom_site_fract_y
_atom_site_fract_z
_atom_site_occupancy
Ge1 Ge 0.000 0.000 0.000 1
P1 P 0.000 0.000 0.500 1
S1 S 0.000 0.500 0.000 1
I1 I 0.500 0.500 0.500 1
```

***

Most stable structure - Q; separation to the second - 490 meV/atom.